Material: SbIr2Se
Method: DFT, GGA-PBE
State: relaxed

Cell lengths 4.464, 4.464, 5.389 Å; angles 80.72, 80.72, 46.39 degrees
Fractional positions:
1 Ir 0.988 0.988 0.089
2 Ir 0.751 0.751 0.767
3 Sb 0.484 0.484 0.539
4 Se 0.277 0.277 0.104

Space group ... No. 8

---

Material: SbIrSe2
Method: DFT, GGA-PBE
State: relaxed

Cell lengths 6.630, 6.630, 6.630 Å; angles 147.82, 139.54, 52.61 degrees
Fractional positions:
1 Ir 0.750 0.250 0.500
2 Sb 0.250 0.750 0.500
3 Se 0.899 0.899 0.000
4 Se 0.601 0.601 0.000

Space group ... No. 71

---

Material: SbIr2Se
Method: DFT, GGA-PBE
State: relaxed

Cell lengths 4.646, 4.646, 8.287 Å; angles 73.72, 73.72, 90.00 degrees
Fractional positions:
1 Sb 0.000 0.000 0.000
2 Sb 0.750 0.250 0.500
3 Ir 0.570 0.125 0.250
4 Ir 0.180 0.625 0.250
5 Ir 0.375 0.430 0.750
6 Ir 0.875 0.820 0.750
7 Se 0.500 0.500 0.000
8 Se 0.250 0.750 0.500

Space group ... No. 122

---

Material: SbIrSe2
Method: DFT, GGA-PBE
State: relaxed

Cell lengths 3.555, 6.974, 5.488 Å; angles 37.83, 90.00, 90.00 degrees
Fractional positions:
1 Ir 0.500 0.500 0.500
2 Sb 0.000 0.000 0.500
3 Se 0.000 0.000 0.000
4 Se 0.500 0.500 0.000

Space group ... No. 10

---

no.,formation energy (no corrections) (eV per atom),uncorrected energy (eV for the cell shown)
1,0.224,-24.43
2,0.006,-19.93
3,0.168,-49.32
4,0.375,-18.45